Entry from Alexandria: an optimized crystal structure of SmZnCuAg (PBE).

a = 4.766 Å, b = 4.766 Å, c = 4.766 Å
α = 60.00°, β = 60.00°, γ = 60.00°
Fractional positions:
Sm 0.000 0.000 0.000
Zn 0.250 0.250 0.250
Cu 0.750 0.750 0.750
Ag 0.500 0.500 0.500

Uncorrected energy = -3.41 eV/atom
E_form = -0.177 eV per atom
D(E_F) = 3.8 states/eV/f.u.
Spin magnetization = 0.00 μB/f.u.
Space-group type = F-43m (216)